First-principles (PBE) data for DyErSnC after structural relaxation, as listed in the Open Quantum Materials Database.

a = 3.600 Å, b = 3.600 Å, c = 15.786 Å
α = 90.00°, β = 90.00°, γ = 120.00°
Sites, in units of the cell vectors:
C 0.000 0.000 0.000
C 0.000 0.000 0.500
Dy 0.333 0.667 0.085
Dy 0.667 0.333 0.915
Er 0.333 0.667 0.417
Er 0.667 0.333 0.583
Sn 0.667 0.333 0.252
Sn 0.333 0.667 0.748

Output
For the volume, the calculation gives 177 Å³ per cell. The value obtained for the total energy is -49.2 eV for the cell shown.

First-principles (PBE) data for DyEr3Sn2C2 after structural relaxation, as listed in the Open Quantum Materials Database.

a = 3.594 Å, b = 3.594 Å, c = 15.741 Å
α = 90.00°, β = 90.00°, γ = 120.00°
Sites, in units of the cell vectors:
C 0.000 0.000 0.500
C 0.000 0.000 0.999
Dy 0.333 0.667 0.085
Er 0.333 0.667 0.416
Er 0.667 0.333 0.584
Er 0.667 0.333 0.915
Sn 0.667 0.333 0.251
Sn 0.333 0.667 0.750

Output
For the volume, the calculation gives 176 Å³ per cell. The value obtained for the total energy is -49.3 eV for the cell shown.

First-principles (PBE) data for DyErSnC after structural relaxation, as listed in the Open Quantum Materials Database.

a = 3.602 Å, b = 3.602 Å, c = 15.783 Å
α = 90.00°, β = 90.00°, γ = 120.00°
Sites, in units of the cell vectors:
C 0.000 0.000 0.251
C 0.000 0.000 0.749
Dy 0.333 0.667 0.166
Dy 0.333 0.667 0.834
Er 0.667 0.333 0.335
Er 0.667 0.333 0.665
Sn 0.667 0.333 0.000
Sn 0.333 0.667 0.500

Output
For the volume, the calculation gives 177 Å³ per cell. The value obtained for the total energy is -49.2 eV for the cell shown.

Which formula does entry 1 have?
DyErSnC

Please write out number 2 again, unchanged.
First-principles (PBE) data for DyEr3Sn2C2 after structural relaxation, as listed in the Open Quantum Materials Database.

a = 3.594 Å, b = 3.594 Å, c = 15.741 Å
α = 90.00°, β = 90.00°, γ = 120.00°
Sites, in units of the cell vectors:
C 0.000 0.000 0.500
C 0.000 0.000 0.999
Dy 0.333 0.667 0.085
Er 0.333 0.667 0.416
Er 0.667 0.333 0.584
Er 0.667 0.333 0.915
Sn 0.667 0.333 0.251
Sn 0.333 0.667 0.750

Output
For the volume, the calculation gives 176 Å³ per cell. The value obtained for the total energy is -49.3 eV for the cell shown.